Computed, not measured: a relaxed Nb4Si3W2N3 crystal at the PBE level of DFT.

Results
- VASP energy (eV per formula unit) = -112.10
- ρ (g/cm³) = 8.93

```
data_Nb4Si3W2N3
_chemical_formula_sum 'Nb16 Si12 W8 N12'
_cell_length_a 9.4964
_cell_length_b 5.4126
_cell_length_c 12.9231
_cell_angle_alpha 90.00
_cell_angle_beta 104.34
_cell_angle_gamma 90.00
_space_group_name_H-M_alt 'C 1 2/c 1'
_space_group_IT_number 15
_space_group_name_Hall '-C 2yc'
loop_
_atom_site_label
_atom_site_type_symbol
_atom_site_fract_x
_atom_site_fract_y
_atom_site_fract_z
Nb1 Nb 0.1130 0.0847 0.0927
Nb2 Nb 0.2198 0.0852 0.4072
Si1 Si 0.0000 0.0707 0.7500
Si2 Si 0.1687 0.4154 0.2487
W1 W 0.0485 0.4125 0.8905
N1 N 0.0764 0.2717 0.5002
N2 N 0.2500 0.2500 0.0000
```